# AlCoO3 | Alexandria | PBE+U | optimized geometry
data_AlCoO3
_chemical_formula_sum 'Al2 Co2 O6'
_space_group_name_H-M_alt 'P -1'
_space_group_IT_number 2
_space_group_name_Hall '-P 1'
_cell_length_a 5.090
_cell_length_b 5.170
_cell_length_c 5.510
_cell_angle_alpha 106.45
_cell_angle_beta 106.95
_cell_angle_gamma 109.22
loop_
_atom_site_label
_atom_site_fract_x
_atom_site_fract_y
_atom_site_fract_z
Al1 0.033 0.229 0.429
Co1 0.273 0.748 0.165
O1 0.046 0.519 0.736
O2 0.133 0.059 0.138
O3 0.293 0.105 0.629
# uncorrected energy = -6.494 eV/atom
# magnetic moment = 6.02 Bohr magnetons per cell